Here is a relaxed CoSi2Mo2 crystal from Alexandria. Energies are from PBE.

Calculated values
Crystal system = tetragonal
Uncorrected formation energy = -0.332 eV/atom
Size of the total moment = 0.00 Bohr magnetons per cell

Unit cell a=5.911 b=5.911 c=3.834 alpha=90.00 beta=90.00 gamma=90.00
Positions (direct):
Mo (0.172, 0.672, 0.500)
Mo (0.672, 0.828, 0.500)
Mo (0.828, 0.328, 0.500)
Mo (0.328, 0.172, 0.500)
Co (0.000, 0.000, 0.000)
Co (0.500, 0.500, 0.000)
Si (0.361, 0.861, 0.000)
Si (0.861, 0.639, 0.000)
Si (0.639, 0.139, 0.000)
Si (0.139, 0.361, 0.000)


Here is a relaxed Sb3IrSe crystal from Alexandria. Energies are from PBE.

Calculated values
Crystal system = cubic
Uncorrected formation energy = 0.470 eV/atom
Size of the total moment = 0.00 Bohr magnetons per cell
ΔE to the lowest computed polymorph = 0.563 eV per atom

Unit cell a=5.194 b=5.194 c=5.194 alpha=90.00 beta=90.00 gamma=90.00
Positions (direct):
Sb (0.000, 0.500, 0.000)
Sb (0.000, 0.000, 0.500)
Sb (0.500, 0.000, 0.000)
Ir (0.000, 0.000, 0.000)
Se (0.500, 0.500, 0.500)


Here is a relaxed Th2Ni3Ge5 crystal from Alexandria. Energies are from PBE.

Calculated values
Formation energy = -352 meV/atom
Crystal system = tetragonal
Size of the total moment = 0.00 Bohr magnetons per cell
ΔE to the lowest computed polymorph = 0.288 eV per atom

Unit cell a=4.420 b=4.420 c=9.467 alpha=90.00 beta=90.00 gamma=90.00
Positions (direct):
Th (0.500, 0.000, 0.277)
Th (0.000, 0.500, 0.723)
Ni (0.500, 0.000, 0.609)
Ni (0.000, 0.500, 0.391)
Ni (0.000, 0.000, 0.500)
Ge (0.500, 0.500, 0.000)
Ge (0.000, 0.000, 0.000)
Ge (0.500, 0.000, 0.849)
Ge (0.000, 0.500, 0.151)
Ge (0.500, 0.500, 0.500)


Here is a relaxed Ac2Si3Rh crystal from Alexandria. Energies are from PBE.

Calculated values
Crystal system = orthorhombic
Uncorrected formation energy = -0.829 eV/atom
Size of the total moment = 0.00 Bohr magnetons per cell

Unit cell a=6.210 b=6.210 c=8.602 alpha=112.72 beta=112.72 gamma=85.99
Positions (direct):
Ac (0.250, 0.750, 0.500)
Ac (0.746, 0.746, 0.000)
Ac (0.750, 0.250, 0.500)
Ac (0.254, 0.254, 0.000)
Si (0.332, 0.835, 0.167)
Si (0.165, 0.668, 0.833)
Si (0.668, 0.165, 0.833)
Si (0.835, 0.332, 0.167)
Si (0.166, 0.166, 0.332)
Si (0.834, 0.834, 0.668)
Rh (0.667, 0.667, 0.333)
Rh (0.333, 0.333, 0.667)


Here is a relaxed SrTbY2 crystal from Alexandria. Energies are from PBE.

Calculated values
Formation energy = 118 meV/atom
Crystal system = tetragonal
Size of the total moment = 0.00 Bohr magnetons per cell
ΔE to the lowest computed polymorph = 0.000 eV per atom

Unit cell a=3.696 b=3.696 c=10.612 alpha=90.00 beta=90.00 gamma=90.00
Positions (direct):
Y (0.000, 0.000, 0.779)
Y (0.000, 0.000, 0.221)
Sr (0.500, 0.500, 0.500)
Tb (0.500, 0.500, 0.000)


Here is a relaxed Rb2AsCCl6 crystal from Alexandria. Energies are from PBE.

Calculated values
Crystal system = tetragonal
Uncorrected formation energy = -0.533 eV/atom
Size of the total moment = 1.00 Bohr magnetons per cell

Unit cell a=6.837 b=6.837 c=7.523 alpha=62.97 beta=62.97 gamma=90.00
Site moments in Bohr magnetons follow the coordinates.
Positions (direct):
As (0.000, 0.000, 0.000)  0.00
C (0.500, 0.500, 0.000)  0.49
Rb (0.750, 0.250, 0.500)  0.00
Rb (0.250, 0.750, 0.500)  0.00
Cl (0.216, 0.216, 0.568)  0.01
Cl (0.784, 0.784, 0.432)  0.01
Cl (0.260, 0.260, 0.000)  0.01
Cl (0.740, 0.740, 0.000)  0.01
Cl (0.740, 0.260, 0.000)  0.01
Cl (0.260, 0.740, 0.000)  0.01


Here is a relaxed Ce4AlHg crystal from Alexandria. Energies are from PBE.

Calculated values
Formation energy = -136 meV/atom
Crystal system = monoclinic
Size of the total moment = 2.83 Bohr magnetons per cell
ΔE to the lowest computed polymorph = 0.052 eV per atom

Unit cell a=5.783 b=6.604 c=9.307 alpha=90.00 beta=121.65 gamma=90.00
Site moments in Bohr magnetons follow the coordinates.
Positions (direct):
Ce (0.496, 0.989, 0.651)  0.42
Ce (0.504, 0.489, 0.349)  0.42
Ce (0.504, 0.011, 0.349)  0.42
Ce (0.496, 0.511, 0.651)  0.42
Ce (0.017, 0.250, 0.714)  0.24
Ce (0.983, 0.750, 0.286)  0.24
Ce (0.988, 0.250, 0.001)  0.12
Ce (0.012, 0.750, 0.999)  0.12
Al (0.500, 0.500, 0.000)  0.00
Al (0.500, 0.000, 0.000)  0.00
Hg (0.014, 0.750, 0.656)  0.00
Hg (0.986, 0.250, 0.344)  0.00


Here is a relaxed Ce2DyPuAs4 crystal from Alexandria. Energies are from PBE.

Calculated values
Formation energy = -1355 meV/atom
Crystal system = monoclinic
Size of the total moment = 6.59 Bohr magnetons per cell

Unit cell a=4.181 b=7.235 c=7.213 alpha=109.58 beta=90.00 gamma=90.00
Site moments in Bohr magnetons follow the coordinates.
Positions (direct):
Ce (0.500, 0.000, 0.500)  0.62
Ce (0.000, 0.500, 0.500)  0.57
Dy (0.500, 0.500, 0.000)  0.02
Pu (0.000, 0.000, 0.000)  5.12
As (0.500, 0.249, 0.246)  -0.07
As (0.500, 0.751, 0.754)  -0.07
As (0.000, 0.252, 0.753)  -0.04
As (0.000, 0.748, 0.247)  -0.04


Here is a relaxed ReAg2Cl crystal from Alexandria. Energies are from PBE.

Calculated values
Crystal system = tetragonal
Uncorrected formation energy = 0.614 eV/atom
Size of the total moment = 0.00 Bohr magnetons per cell
ΔE to the lowest computed polymorph = 0.224 eV per atom

Unit cell a=2.883 b=2.883 c=8.713 alpha=90.00 beta=90.00 gamma=90.00
Positions (direct):
Re (0.500, 0.500, 0.744)
Ag (0.000, 0.000, 0.978)
Ag (0.500, 0.500, 0.219)
Cl (0.000, 0.000, 0.559)


Here is a relaxed LaPm2Br6 crystal from Alexandria. Energies are from PBE.

Calculated values
Crystal system = trigonal
Uncorrected formation energy = -1.539 eV/atom
Size of the total moment = 0.97 Bohr magnetons per cell
ΔE to the lowest computed polymorph = 0.146 eV per atom

Unit cell a=8.033 b=8.033 c=7.118 alpha=55.65 beta=55.65 gamma=60.00
Site moments in Bohr magnetons follow the coordinates.
Positions (direct):
La (0.320, 0.320, 0.039)  0.35
Pm (0.791, 0.791, 0.628)  -0.01
Pm (0.534, 0.534, 0.399)  0.20
Br (0.751, 0.404, 0.727)  0.00
Br (0.118, 0.751, 0.727)  0.00
Br (0.404, 0.118, 0.727)  0.00
Br (0.205, 0.626, 0.252)  0.00
Br (0.917, 0.205, 0.252)  0.00
Br (0.626, 0.917, 0.252)  0.00


Here is a relaxed TbNd4Er3 crystal from Alexandria. Energies are from PBE.

Calculated values
Formation energy = 28 meV/atom
Crystal system = orthorhombic
Size of the total moment = 0.00 Bohr magnetons per cell

Unit cell a=6.304 b=7.323 c=11.562 alpha=90.00 beta=90.00 gamma=90.00
Positions (direct):
Tb (0.149, 0.378, 0.000)
Tb (0.649, 0.622, 0.500)
Nd (0.143, 0.872, 0.000)
Nd (0.649, 0.129, 0.000)
Nd (0.982, 0.128, 0.252)
Nd (0.482, 0.872, 0.248)
Nd (0.149, 0.871, 0.500)
Nd (0.643, 0.128, 0.500)
Nd (0.482, 0.872, 0.752)
Nd (0.982, 0.128, 0.748)
Er (0.647, 0.620, 0.000)
Er (0.981, 0.621, 0.250)
Er (0.481, 0.379, 0.250)
Er (0.147, 0.380, 0.500)
Er (0.481, 0.379, 0.750)
Er (0.981, 0.621, 0.750)


Here is a relaxed AcPm2Te crystal from Alexandria. Energies are from PBE.

Calculated values
Crystal system = tetragonal
Uncorrected formation energy = -0.487 eV/atom
Size of the total moment = 0.00 Bohr magnetons per cell
ΔE to the lowest computed polymorph = 0.134 eV per atom

Unit cell a=4.851 b=5.105 c=5.105 alpha=90.00 beta=90.00 gamma=90.00
Positions (direct):
Ac (0.500, 0.000, 0.000)
Te (0.500, 0.500, 0.500)
Pm (0.000, 0.000, 0.500)
Pm (0.000, 0.500, 0.000)